[1]
# PBE-GGA Ac2La2Ag2Os, relaxed
data_Ac2La2Ag2Os
_chemical_formula_sum 'Ac2 La2 Ag2 Os1'
_symmetry_space_group_name_H-M 'P 1'
_symmetry_Int_Tables_number 1
_cell_length_a 4.317
_cell_length_b 7.500
_cell_length_c 8.107
_cell_angle_alpha 66.75
_cell_angle_beta 74.51
_cell_angle_gamma 89.99
loop_
_symmetry_equiv_pos_as_xyz
'x,y,z'
loop_
_atom_site_label
_atom_site_type_symbol
_atom_site_fract_x
_atom_site_fract_y
_atom_site_fract_z
_atom_site_occupancy
Ac1 Ac 0.206 0.219 0.587 1
Ac2 Ac 0.794 0.781 0.413 1
La1 La 0.484 0.233 0.032 1
La2 La 0.516 0.767 0.968 1
Os1 Os 0.000 0.000 0.000 1
Ag1 Ag 0.883 0.428 0.234 1
Ag2 Ag 0.117 0.572 0.766 1
# Total energy (eV/cell): -36.2
# Space group: C2/m (12)

[2]
# PBE-GGA SrZn3Ge3, relaxed
data_SrZn3Ge3
_chemical_formula_sum 'Sr2 Zn6 Ge6'
_symmetry_space_group_name_H-M 'P 1'
_symmetry_Int_Tables_number 1
_cell_length_a 6.965
_cell_length_b 6.965
_cell_length_c 6.965
_cell_angle_alpha 90.00
_cell_angle_beta 90.00
_cell_angle_gamma 90.00
loop_
_symmetry_equiv_pos_as_xyz
'x,y,z'
loop_
_atom_site_label
_atom_site_type_symbol
_atom_site_fract_x
_atom_site_fract_y
_atom_site_fract_z
_atom_site_occupancy
Ge1 Ge 0.750 0.500 0.000 1
Ge2 Ge 0.500 0.000 0.250 1
Ge3 Ge 0.250 0.500 0.000 1
Ge4 Ge 0.500 0.000 0.750 1
Ge5 Ge 0.000 0.250 0.500 1
Ge6 Ge 0.000 0.750 0.500 1
Zn1 Zn 0.000 0.500 0.250 1
Zn2 Zn 0.750 0.000 0.500 1
Zn3 Zn 0.500 0.750 0.000 1
Zn4 Zn 0.000 0.500 0.750 1
Zn5 Zn 0.250 0.000 0.500 1
Zn6 Zn 0.500 0.250 0.000 1
Sr1 Sr 0.000 0.000 0.000 1
Sr2 Sr 0.500 0.500 0.500 1
# Offset from the most stable computed form (meV/atom): 82
# Space group: Pm-3n (223)

[3]
# PBE-GGA Nd4MgSc, relaxed
data_Nd4MgSc
_chemical_formula_sum 'Nd4 Mg1 Sc1'
_symmetry_space_group_name_H-M 'P 1'
_symmetry_Int_Tables_number 1
_cell_length_a 3.649
_cell_length_b 3.649
_cell_length_c 14.178
_cell_angle_alpha 90.00
_cell_angle_beta 90.00
_cell_angle_gamma 90.00
loop_
_symmetry_equiv_pos_as_xyz
'x,y,z'
loop_
_atom_site_label
_atom_site_type_symbol
_atom_site_fract_x
_atom_site_fract_y
_atom_site_fract_z
_atom_site_occupancy
Nd1 Nd 0.000 0.000 0.342 1
Nd2 Nd 0.000 0.000 0.658 1
Nd3 Nd 0.500 0.500 0.162 1
Nd4 Nd 0.500 0.500 0.838 1
Mg1 Mg 0.500 0.500 0.500 1
Sc1 Sc 0.000 0.000 0.000 1
# Offset from the most stable computed form (meV/atom): 0
# Space group: P4/mmm (123)

Q: What is the formula in the first record?
A: Ac2La2Ag2Os